# 1
Density functional theory data (PBEsol) for an optimized crystal structure of HoP5O14.

Geometry as extended XYZ:
```
80
Lattice="8.715 0.000 0.000 0.000 12.694 0.000 0.000 0.000 8.944" Properties=species:S:1:pos:R:3 pbc="T T T"
Ho 0.172 3.173 0.506
Ho 4.186 9.520 4.978
Ho 4.529 3.173 3.966
Ho 8.543 9.520 8.438
P 0.085 7.391 2.661
P 0.085 11.649 2.661
P 0.641 9.520 4.554
P 2.110 7.233 6.921
P 2.110 11.808 6.921
P 2.248 0.886 2.449
P 2.248 5.461 2.449
P 3.717 3.173 0.082
P 4.273 1.045 7.134
P 4.273 5.302 7.134
P 4.443 7.391 1.811
P 4.443 11.649 1.811
P 4.998 9.520 8.863
P 6.467 7.233 6.495
P 6.467 11.808 6.495
P 6.606 0.886 2.023
P 6.606 5.461 2.023
P 8.074 3.173 4.390
P 8.630 1.045 6.283
P 8.630 5.302 6.283
O 0.055 8.082 1.363
O 0.055 10.958 1.363
O 0.219 1.940 5.030
O 0.219 4.407 5.030
O 0.355 9.520 6.005
O 0.971 6.445 6.078
O 0.971 12.596 6.078
O 1.361 1.517 1.439
O 1.361 4.830 1.439
O 1.455 6.727 3.081
O 1.455 12.314 3.081
O 1.497 7.986 8.042
O 1.497 11.054 8.042
O 2.010 9.520 3.964
O 2.347 3.173 8.436
O 2.860 1.639 3.569
O 2.860 4.707 3.569
O 2.903 0.380 7.553
O 2.903 5.967 7.553
O 2.997 7.864 5.911
O 2.997 11.177 5.911
O 3.386 0.098 1.605
O 3.386 6.249 1.605
O 4.002 3.173 1.533
O 4.138 8.287 0.558
O 4.138 10.753 0.558
O 4.302 1.736 5.835
O 4.302 4.611 5.835
O 4.413 8.082 3.109
O 4.413 10.958 3.109
O 4.577 1.940 8.386
O 4.577 4.407 8.386
O 4.713 9.520 7.411
O 5.329 6.445 7.339
O 5.329 12.596 7.339
O 5.718 1.517 3.033
O 5.718 4.830 3.033
O 5.813 6.727 1.391
O 5.813 12.314 1.391
O 5.855 7.986 5.375
O 5.855 11.054 5.375
O 6.368 9.520 0.509
O 6.705 3.173 4.981
O 7.218 1.639 0.903
O 7.218 4.707 0.903
O 7.260 0.380 5.863
O 7.260 5.967 5.863
O 7.354 7.864 7.506
O 7.354 11.177 7.506
O 7.744 0.098 2.867
O 7.744 6.249 2.867
O 8.360 3.173 2.939
O 8.496 8.287 3.914
O 8.496 10.753 3.914
O 8.660 1.736 7.582
O 8.660 4.611 7.582
```

The calculation puts the calculated total energy at -7.733 eV/atom. As for the offset from the most stable computed form: 6.2 meV per atom. Its space group is Pnma. The value obtained for the density of states at the Fermi level is 0.0 states/eV per cell.

---

# 2
Density functional theory data (PBEsol) for an optimized crystal structure of HoPO4.

Geometry as extended XYZ:
```
12
Lattice="-3.424 3.424 2.990 3.424 -3.424 2.990 3.424 3.424 -2.990" Properties=species:S:1:pos:R:3 pbc="T T T"
Ho 3.424 1.712 0.748
Ho 0.000 1.712 2.243
P 3.424 -1.712 2.243
P 0.000 5.136 0.748
O 3.424 -0.504 1.275
O 3.424 2.920 -1.275
O 1.208 1.712 0.221
O 2.216 -1.712 3.211
O 1.208 5.136 -0.221
O 2.216 1.712 2.770
O 0.000 0.504 4.265
O 0.000 3.928 1.716
```

The calculation puts the calculated total energy at -8.386 eV/atom. Its space group is I4_1/amd. The value obtained for the density of states at the Fermi level is 0.0 states/eV per cell.

---

# 3
Density functional theory data (PBEsol) for an optimized crystal structure of Ho2P4O13.

Geometry as extended XYZ:
```
38
Lattice="5.885 -3.353 0.000 5.885 3.353 0.000 -3.713 0.000 12.266" Properties=species:S:1:pos:R:3 pbc="T T T"
Ho 2.072 0.019 0.586
Ho 0.215 -0.019 6.719
Ho 7.841 0.019 5.547
Ho 5.985 -0.019 11.680
P 1.826 0.071 4.144
P -0.031 -0.071 10.277
P 5.256 1.057 1.633
P 4.657 1.057 4.499
P 3.399 -1.057 7.766
P 2.801 -1.057 10.632
P 8.088 0.071 1.988
P 6.231 -0.071 8.121
O 1.271 1.244 4.954
O -0.439 1.166 11.084
O 5.601 2.210 0.696
O 4.312 2.210 5.436
O 1.462 0.040 2.688
O -0.395 -0.040 8.821
O 4.957 1.718 3.066
O 4.182 0.103 1.240
O 3.421 0.118 4.230
O 2.326 -0.103 7.372
O 1.564 -0.118 10.363
O -0.585 -1.244 11.087
O 1.418 -1.166 4.951
O 6.639 1.166 7.315
O 8.642 1.244 1.178
O 6.493 0.118 1.903
O 5.731 0.103 4.893
O 4.636 -0.118 8.036
O 3.874 -0.103 11.026
O 3.100 -1.718 9.199
O 8.451 0.040 3.445
O 6.595 -0.040 9.578
O 3.744 -2.210 6.829
O 2.456 -2.210 11.569
O 8.496 -1.166 1.182
O 6.785 -1.244 7.311
```

The calculation puts the calculated total energy at -8.027 eV/atom. As for the offset from the most stable computed form: 22.9 meV per atom. Its space group is C2/c. The value obtained for the density of states at the Fermi level is 0.0 states/eV per cell.

---

# 4
Density functional theory data (PBEsol) for an optimized crystal structure of HoP5O14.

Geometry as extended XYZ:
```
80
Lattice="6.459 -6.401 0.000 6.459 6.401 0.000 -0.320 0.000 12.417" Properties=species:S:1:pos:R:3 pbc="T T T"
Ho 6.219 6.155 9.313
Ho 6.219 0.417 9.313
Ho 6.379 -0.417 3.104
Ho 6.379 -6.155 3.104
P 4.414 4.231 4.911
P 3.956 3.240 9.189
P 1.874 0.412 0.003
P 1.714 -0.412 6.211
P 4.062 1.724 1.363
P 8.344 4.231 1.298
P 6.009 1.909 5.790
P 6.748 1.909 0.418
P 8.482 3.240 9.437
P 3.902 -1.724 7.571
P 8.695 1.724 4.846
P 4.116 -3.240 2.980
P 5.849 -1.909 11.999
P 6.588 -1.909 6.627
P 4.254 -4.231 11.119
P 8.536 -1.724 11.054
P 10.883 0.412 6.206
P 10.723 -0.412 12.414
P 8.642 -3.240 3.229
P 8.184 -4.231 7.506
O 2.954 3.060 7.909
O 0.973 0.818 1.117
O 3.250 2.885 2.032
O 5.199 4.758 3.785
O 4.758 4.444 8.879
O 1.137 0.477 11.007
O 2.326 1.080 6.538
O 0.813 -0.818 7.325
O 1.297 -0.477 4.799
O 3.236 1.285 0.089
O 5.209 3.313 5.916
O 5.245 2.521 0.695
O 7.559 4.758 2.424
O 4.579 1.943 9.536
O 7.679 4.444 9.747
O 2.486 -1.080 0.330
O 4.434 0.598 2.235
O 7.548 3.313 0.293
O 5.580 1.202 4.550
O 3.076 -1.285 6.297
O 5.964 1.286 7.129
O 4.274 -0.598 8.444
O 7.512 2.521 5.513
O 6.473 1.286 11.497
O 7.177 1.202 1.659
O 7.858 1.943 9.090
O 3.090 -2.885 8.240
O 3.114 -3.060 1.700
O 9.483 3.060 10.717
O 9.508 2.885 4.177
O 4.739 -1.943 3.327
O 5.421 -1.202 10.758
O 6.124 -1.286 0.920
O 5.085 -2.521 6.904
O 8.323 0.598 3.973
O 6.633 -1.286 5.288
O 9.521 1.285 6.120
O 7.017 -1.202 7.867
O 5.049 -3.313 12.124
O 8.163 -0.598 10.182
O 10.111 1.080 12.087
O 4.918 -4.444 2.670
O 8.018 -1.943 2.881
O 5.039 -4.758 9.993
O 7.352 -2.521 11.722
O 7.388 -3.313 6.501
O 9.361 -1.285 12.328
O 11.300 0.477 7.619
O 11.784 0.818 5.092
O 10.271 -1.080 5.879
O 11.460 -0.477 1.410
O 7.839 -4.444 3.538
O 7.399 -4.758 8.632
O 9.348 -2.885 10.385
O 11.624 -0.818 11.300
O 9.643 -3.060 4.508
```

The calculation puts the calculated total energy at -7.739 eV/atom. As for the offset from the most stable computed form: 0.0 meV per atom. Its space group is C2/c. The value obtained for the density of states at the Fermi level is 0.0 states/eV per cell.

---

| no. | calculated density (g/cm³) |
| --- | --- |
| 1 | 3.65 |
| 2 | 6.16 |
| 3 | 4.54 |
| 4 | 3.52 |